Record 1
Material: LaNiSe
Method: DFT, PBE-GGA
State: relaxed

Structure (extended XYZ):
```
6
Lattice="4.065 0.000 0.000 0.000 4.065 0.000 0.000 0.000 8.380" Properties=species:S:1:pos:R:3 pbc="T T T"
La 0.000 0.000 0.000
La 2.033 2.033 4.190
Ni 0.000 0.000 3.029
Ni 2.033 2.033 7.219
Se 0.000 0.000 5.360
Se 2.033 2.033 1.170
```

Calculated values
- E_form (uncorrected): -712 meV per atom
- Polymorph energy (0 for the lowest one): 1.22 eV/f.u.

***

Record 2
Material: ZnCoCl2
Method: DFT, PBE-GGA
State: relaxed

Structure (extended XYZ):
```
8
Lattice="3.184 0.000 0.000 0.000 8.177 0.000 0.000 0.000 8.930" Properties=species:S:1:pos:R:3 pbc="T T T"
Zn 0.000 0.000 0.000
Zn 1.592 4.089 4.465
Co 0.000 4.089 6.461
Co 1.592 0.000 1.995
Cl 0.000 0.000 3.508
Cl 0.000 4.089 2.768
Cl 1.592 0.000 7.233
Cl 1.592 4.089 7.973
```

Calculated values
- E_form (uncorrected): -173 meV per atom
- Polymorph energy (0 for the lowest one): 0.67 eV/f.u.

***

Record 3
Material: Rb2CdPb2
Method: DFT, PBE-GGA
State: relaxed

Structure (extended XYZ):
```
10
Lattice="10.834 0.000 0.000 0.000 10.834 0.000 0.000 0.000 3.747" Properties=species:S:1:pos:R:3 pbc="T T T"
Rb 2.161 3.256 0.000
Rb 3.256 8.673 0.000
Rb 7.578 2.161 0.000
Rb 8.673 7.578 0.000
Cd 0.000 0.000 1.873
Cd 5.417 5.417 1.873
Pb 1.044 6.461 1.873
Pb 4.372 1.044 1.873
Pb 6.461 9.789 1.873
Pb 9.789 4.372 1.873
```

Calculated values
- Polymorph energy (0 for the lowest one): 0.72 eV/f.u.
- Energy of formation: 1.51 kcal/mol of atoms

***

Record 4
Material: Y3HoEr2Bi6
Method: DFT, PBE-GGA
State: relaxed

Structure (extended XYZ):
```
12
Lattice="3.870 -6.702 0.000 3.870 6.702 0.000 -2.576 0.000 7.292" Properties=species:S:1:pos:R:3 pbc="T T T"
Y 0.000 0.000 0.000
Y 3.870 2.231 0.000
Y 3.870 -2.231 0.000
Ho 2.582 0.000 3.646
Er 2.582 4.467 3.646
Er 2.582 -4.467 3.646
Bi 1.288 2.238 1.841
Bi -0.002 0.000 5.450
Bi 1.288 -2.238 1.841
Bi 3.875 2.238 5.452
Bi 5.165 0.000 1.842
Bi 3.875 -2.238 5.452
```

Calculated values
- Energy of formation: -19.81 kcal/mol of atoms

***

no.,Fermi-level density of states (states/eV/atom)
1,0.889
2,0.577
3,0.698
4,0.182